VASP calculation (PBE) on a relaxed structure of ReSiP2O.

Calculated values
Offset from the most stable computed form in meV per atom: 84
ΔE_f (raw) in eV/atom: 0.229

The structure in POSCAR format:
```
ReSiP2O
1.0
4.676 0.000 0.000
0.000 4.676 0.000
0.000 0.000 3.193
P Re O Si
2 1 1 1
Direct
0.500 0.000 0.000
0.000 0.500 0.000
0.500 0.500 0.500
0.000 0.000 0.500
0.000 0.000 0.000
```